Entry 1:
DFT (PBE) results for an optimized crystal structure of Dy3Sc4.

Cell: 3.4150 4.6902 23.8858 Å, 90.00 90.00 90.00°
Positions (direct):
Dy  0.0000  0.0000  0.0000
Dy  0.0000  0.0000  0.1438
Dy  0.0000  0.0000  0.8562
Dy  0.5000  0.5000  0.3562
Dy  0.5000  0.5000  0.5000
Dy  0.5000  0.5000  0.6438
Sc  0.0000  0.0000  0.2834
Sc  0.0000  0.0000  0.4275
Sc  0.0000  0.0000  0.5725
Sc  0.0000  0.0000  0.7166
Sc  0.5000  0.5000  0.0725
Sc  0.5000  0.5000  0.2166
Sc  0.5000  0.5000  0.7834
Sc  0.5000  0.5000  0.9275

Computed properties:
Mass density, g/cm³: 5.793
Space-group type: No. 71
ΔH_f (0 K), eV/f.u.: 0.369
Final energy, eV per atom: -5.54

***

Entry 2:
DFT (PBE) results for an optimized crystal structure of ZnGaCu3Se4.

Cell: 5.7656 5.7656 5.7656 Å, 90.00 90.00 90.00°
Positions (direct):
Zn  0.0000  0.0000  0.0000
Ga  0.5000  0.5000  0.5000
Cu  0.0000  0.5000  0.5000
Cu  0.5000  0.0000  0.5000
Cu  0.5000  0.5000  0.0000
Se  0.2488  0.2488  0.7512
Se  0.2488  0.7512  0.2488
Se  0.7512  0.2488  0.2488
Se  0.7512  0.7512  0.7512

Computed properties:
Mass density, g/cm³: 5.559
Space-group type: No. 215
Energy relative to the elements, uncorrected, meV per atom: -209
Final energy, eV per atom: -3.60

***

Entry 3:
DFT (PBE) results for an optimized crystal structure of Mn2AuSN.

Cell: 5.1252 5.1252 3.7741 Å, 90.00 90.00 90.00°
Positions (direct):
Mn  0.0000  0.5000  0.0000
Mn  0.5000  0.0000  0.0000
Au  0.0000  0.0000  0.0000
S  0.5000  0.5000  0.5000
N  0.0000  0.0000  0.5000

Computed properties:
Mass density, g/cm³: 5.911
Space-group type: No. 123
Energy relative to the elements, uncorrected, meV per atom: 1049
Final energy, eV per atom: -5.77

***

Entry 4:
DFT (PBE) results for an optimized crystal structure of Na2YReMo.

Cell: 5.3148 5.3148 5.2082 Å, 90.00 90.00 90.00°
Positions (direct):
Na  0.0000  0.5000  0.0000
Na  0.5000  0.0000  0.0000
Y  0.0000  0.0000  0.5000
Re  0.5000  0.5000  0.5000
Mo  0.0000  0.0000  0.0000

Computed properties:
Mass density, g/cm³: 4.707
Space-group type: No. 123
ΔH_f (0 K), eV/f.u.: 10.640
Final energy, eV per atom: -4.35

***

Entry 5:
DFT (PBE) results for an optimized crystal structure of TbPr6Hg5.

Cell: 9.5599 9.5599 9.5599 Å, 147.00 131.39 60.01°
Positions (direct):
Tb  0.0000  0.0000  0.0000
Pr  0.0836  0.8278  0.2558
Pr  0.2714  0.5000  0.7714
Pr  0.4280  0.1722  0.2558
Pr  0.5720  0.8278  0.7442
Pr  0.7286  0.5000  0.2286
Pr  0.9164  0.1722  0.7442
Hg  0.1493  0.6493  0.5000
Hg  0.3308  0.3308  0.0000
Hg  0.5000  0.0000  0.5000
Hg  0.6692  0.6692  0.0000
Hg  0.8507  0.3507  0.5000

Computed properties:
Mass density, g/cm³: 9.422
Space-group type: No. 71
ΔH_f (0 K), eV/f.u.: -4.191
Final energy, eV per atom: -3.25

***

Entry 6:
DFT (PBE) results for an optimized crystal structure of CaPaHg2.

Cell: 3.3748 3.3748 31.5941 Å, 90.00 90.00 120.00°
Positions (direct):
Ca  0.0000  0.0000  0.0000
Ca  0.3333  0.6667  0.6667
Ca  0.6667  0.3333  0.3333
Pa  0.0000  0.0000  0.5000
Pa  0.3333  0.6667  0.1667
Pa  0.6667  0.3333  0.8333
Hg  0.0000  0.0000  0.2519
Hg  0.0000  0.0000  0.7481
Hg  0.3333  0.6667  0.4147
Hg  0.3333  0.6667  0.9186
Hg  0.6667  0.3333  0.0814
Hg  0.6667  0.3333  0.5853

Computed properties:
Mass density, g/cm³: 10.747
Space-group type: No. 166
ΔH_f (0 K), eV/f.u.: -0.200
Polymorph energy (0 for the lowest one), eV/f.u.: 0.43
Final energy, eV per atom: -3.08

***

Entry 7:
DFT (PBE) results for an optimized crystal structure of LuHfRh2.

Cell: 4.6637 4.6637 3.3320 Å, 90.00 90.00 90.00°
Positions (direct):
Lu  0.0000  0.0000  0.0000
Hf  0.5000  0.5000  0.0000
Rh  0.0000  0.5000  0.5000
Rh  0.5000  0.0000  0.5000

Computed properties:
Mass density, g/cm³: 12.815
Space-group type: No. 123
ΔH_f (0 K), eV/f.u.: -3.745
Final energy, eV per atom: -8.23

***

Entry 8:
DFT (PBE) results for an optimized crystal structure of InAg2Pd.

Cell: 4.0572 4.0572 4.3581 Å, 90.00 90.00 90.00°
Positions (direct):
In  0.0000  0.0000  0.0000
Ag  0.0000  0.5000  0.5000
Ag  0.5000  0.0000  0.5000
Pd  0.5000  0.5000  0.0000

Computed properties:
Mass density, g/cm³: 10.115
Space-group type: No. 123
ΔH_f (0 K), eV/f.u.: -0.811
Polymorph energy (0 for the lowest one), eV/f.u.: 0.00
Final energy, eV per atom: -3.61